Run 1
CeMgSnBi: optimized geometry, PBE-GGA.

Results
As for the density of states at the Fermi level: 5.02 states/eV per cell. The calculation puts the spin magnetization at 0.68 μB/f.u.

extended XYZ file:
```
4
Lattice="4.387 0.000 0.000 0.000 4.957 0.000 0.000 0.000 4.951" Properties=species:S:1:pos:R:3 pbc="T T T"
Sn 0.000 0.000 0.000
Mg 2.194 0.000 2.475
Bi 0.000 2.478 2.475
Ce 2.194 2.478 0.000
```

=====

Run 2
CeMgSnBi: optimized geometry, PBE-GGA.

Results
As for the density of states at the Fermi level: 6.24 states/eV per cell. The calculation puts the spin magnetization at 0.70 μB/f.u.

extended XYZ file:
```
4
Lattice="5.385 0.000 0.000 2.693 4.664 0.000 2.693 1.555 4.397" Properties=species:S:1:pos:R:3 pbc="T T T"
Sn 2.693 1.555 1.099
Bi 8.078 4.664 3.298
Ce 5.385 3.109 2.198
Mg 0.000 0.000 0.000
```

=====

Least stable structure: run 2